This record from Alexandria via LeMat-Bulk describes an optimized crystal structure of LiPtW2. The functional is PBE.

Final energy ... -33.7 eV for the cell shown
Energy of formation ... 0.05 eV/atom
DOS at the Fermi energy ... 1.9 states/eV per cell
Magnetic moment ... 0.0000 μB per atom

Unit cell a=2.691 b=3.992 c=5.622 alpha=90.00 beta=90.00 gamma=90.00
Space group Pmm2 (No. 25)
Unique sites:
Li: 0.000 0.000 0.000 [1 per cell]
Pt: 0.500 0.500 0.212 [1 per cell]
W: 0.000 0.000 0.487 [1 per cell]
W: 0.500 0.500 0.743 [1 per cell]